A plane-wave DFT calculation with PBE+U was carried out for a geometry-optimized Na3NiSn3O8 structure.

Values from the calculation:
**Electronic total energy**: -80.97 eV/cell
**M_tot**: 2.0 μB per formula unit
**N(E_F)**: 1.11 states/eV/cell

The structure in POSCAR format:
```
Na3NiSn3O8
1.0
3.215 1.856 5.613
-3.215 1.856 5.613
0.000 -3.712 5.613
Na Ni Sn O
3 1 3 8
Direct
0.000 0.500 0.500
0.500 0.000 0.500
0.500 0.500 0.000
0.500 0.500 0.500
0.000 0.000 0.500
0.000 0.500 0.000
0.500 0.000 0.000
0.230 0.730 0.730
0.238 0.238 0.238
0.270 0.270 0.770
0.270 0.770 0.270
0.730 0.230 0.730
0.730 0.730 0.230
0.762 0.762 0.762
0.770 0.270 0.270
```